Here is a relaxed structure of YNbPd2 from Alexandria. Energies are from PBE-GGA.

Results
- calculated formation energy (eV/atom) = 0.163
- space-group type = No. 122

a b c (Å): 9.593 9.593 9.593
angles (deg): 154.02 154.02 37.07
Positions (direct):
Y  0.000  0.000  0.000
Y  0.750  0.250  0.500
Nb  0.250  0.750  0.500
Nb  0.500  0.500  0.000
Pd  0.155  0.625  0.030
Pd  0.375  0.405  0.530
Pd  0.595  0.125  0.970
Pd  0.875  0.845  0.470


Here is a relaxed structure of YNbPd3 from Alexandria. Energies are from PBE-GGA.

Results
- ΔE to the lowest computed polymorph (meV/atom) = 0.0
- calculated formation energy (eV/atom) = 0.207
- space-group type = No. 221

a b c (Å): 4.864 4.864 4.864
angles (deg): 90.00 90.00 90.00
Positions (direct):
Y  0.000  0.000  0.000
Nb  0.500  0.500  0.500
Pd  0.000  0.500  0.500
Pd  0.500  0.000  0.500
Pd  0.500  0.500  0.000


| no. | N(E_F) (states/eV per atom) |
| --- | --- |
| 1 | 0.326 |
| 2 | 0.909 |